{"formula": "Na6Al4FeSi8O26", "functional": "meta-GGA SCAN", "state": "single point on PBEsol structure", "e_form_raw_ev_per_atom": -2.896, "rho_g_cm3": 2.69, "magnetic_moment_mub_per_atom": 0.09, "lattice_angstrom": [[8.0009, 0.0000, 0.0000], [-4.0003, 7.4921, 0.0000], [-0.0043, -4.3404, 9.7167]], "species": ["Na", "Na", "Na", "Na", "Na", "Na", "Al", "Al", "Al", "Al", "Fe", "Si", "Si", "Si", "Si", "Si", "Si", "Si", "Si", "O", "O", "O", "O", "O", "O", "O", "O", "O", "O", "O", "O", "O", "O", "O", "O", "O", "O", "O", "O", "O", "O", "O", "O", "O", "O"], "frac_coords": [[0.0000, 0.0000, 0.0000], [0.0693, 0.1367, 0.6679], [0.2607, 0.5280, 0.2766], [0.3695, 0.7664, 0.9529], [0.6708, 0.3703, 0.7148], [0.8014, 0.6087, 0.3912], [0.2738, 0.9530, 0.4873], [0.3888, 0.1838, 0.1806], [0.6810, 0.7725, 0.1801], [0.9768, 0.3639, 0.4876], [0.5080, 0.0684, 0.8339], [0.0599, 0.7703, 0.7022], [0.0723, 0.7683, 0.1814], [0.3572, 0.3660, 0.9654], [0.3726, 0.3687, 0.4865], [0.6665, 0.9530, 0.4882], [0.6759, 0.7742, 0.7019], [0.7815, 0.1836, 0.1795], [0.9697, 0.3629, 0.9661], [0.0819, 0.6035, 0.0432], [0.1034, 0.8513, 0.5802], [0.1382, 0.3179, 0.8993], [0.1757, 0.9685, 0.1581], [0.1840, 0.7801, 0.3155], [0.2183, 0.4383, 0.4735], [0.2382, 0.8752, 0.8286], [0.2763, 0.1685, 0.5099], [0.3198, 0.2852, 0.0875], [0.4298, 0.2606, 0.8388], [0.4723, 0.3569, 0.3524], [0.4892, 0.6040, 0.0376], [0.5078, 0.0121, 0.5452], [0.5469, 0.5335, 0.6248], [0.5637, 0.1247, 0.1226], [0.5861, 0.7892, 0.3304], [0.5868, 0.8709, 0.8174], [0.7202, 0.8533, 0.5783], [0.7836, 0.2668, 0.8508], [0.7936, 0.9911, 0.1586], [0.8483, 0.6984, 0.1944], [0.8651, 0.3473, 0.3374], [0.8713, 0.1453, 0.5091], [0.8894, 0.8189, 0.7685], [0.9348, 0.2835, 0.0896], [0.9533, 0.5323, 0.6299]]}



{"formula": "Na6Al3Fe3Te4O24", "functional": "meta-GGA SCAN", "state": "single point on PBEsol structure", "e_form_raw_ev_per_atom": -1.914, "rho_g_cm3": 4.48, "magnetic_moment_mub_per_atom": 0.38, "lattice_angstrom": [[-6.1940, 6.1940, 6.1940], [6.1940, -6.1940, 6.1940], [6.1940, 6.1940, -6.1940]], "species": ["Na", "Na", "Na", "Na", "Na", "Na", "Na", "Na", "Na", "Na", "Na", "Na", "Al", "Al", "Al", "Al", "Al", "Al", "Fe", "Fe", "Fe", "Fe", "Fe", "Fe", "Te", "Te", "Te", "Te", "Te", "Te", "Te", "Te", "O", "O", "O", "O", "O", "O", "O", "O", "O", "O", "O", "O", "O", "O", "O", "O", "O", "O", "O", "O", "O", "O", "O", "O", "O", "O", "O", "O", "O", "O", "O", "O", "O", "O", "O", "O", "O", "O", "O", "O", "O", "O", "O", "O", "O", "O", "O", "O"], "frac_coords": [[0.1249, 0.2500, 0.3749], [0.1251, 0.3751, 0.7500], [0.2500, 0.3749, 0.1249], [0.2500, 0.8751, 0.6251], [0.3749, 0.1249, 0.2500], [0.3751, 0.7500, 0.1251], [0.6251, 0.2500, 0.8751], [0.6249, 0.8749, 0.7500], [0.7500, 0.1251, 0.3751], [0.7500, 0.6249, 0.8749], [0.8751, 0.6251, 0.2500], [0.8749, 0.7500, 0.6249], [0.1250, 0.8750, 0.2500], [0.2500, 0.1250, 0.8750], [0.3750, 0.6250, 0.7500], [0.6250, 0.7500, 0.3750], [0.7500, 0.3750, 0.6250], [0.8750, 0.2500, 0.1250], [0.1250, 0.7500, 0.8750], [0.2500, 0.6250, 0.3750], [0.3750, 0.2500, 0.6250], [0.6250, 0.3750, 0.2500], [0.7500, 0.8750, 0.1250], [0.8750, 0.1250, 0.7500], [0.9999, 0.9999, 0.9999], [0.0000, 0.0001, 0.5000], [0.0001, 0.5000, 0.0000], [0.0000, 0.5001, 0.5000], [0.5000, 0.0000, 0.0001], [0.5000, 0.0000, 0.5001], [0.5001, 0.5000, 0.0000], [0.4999, 0.4999, 0.4999], [0.0084, 0.1887, 0.1132], [0.0187, 0.3247, 0.9025], [0.0755, 0.8868, 0.3952], [0.0778, 0.6939, 0.6753], [0.0975, 0.6161, 0.4222], [0.1048, 0.9916, 0.6802], [0.1132, 0.0084, 0.1887], [0.1161, 0.5975, 0.9222], [0.1753, 0.1939, 0.5778], [0.1802, 0.4916, 0.6048], [0.1887, 0.1132, 0.0084], [0.1939, 0.5778, 0.1753], [0.3061, 0.4813, 0.3839], [0.3114, 0.3198, 0.9245], [0.3198, 0.9245, 0.3114], [0.3247, 0.9025, 0.0187], [0.3839, 0.3061, 0.4813], [0.3868, 0.5755, 0.8952], [0.3952, 0.0755, 0.8868], [0.4025, 0.8247, 0.5187], [0.4222, 0.0975, 0.6161], [0.4245, 0.8198, 0.8114], [0.4813, 0.3839, 0.3061], [0.4916, 0.6048, 0.1802], [0.5084, 0.6132, 0.6886], [0.5187, 0.4025, 0.8247], [0.5755, 0.8952, 0.3868], [0.5778, 0.1753, 0.1939], [0.5975, 0.9222, 0.1161], [0.6048, 0.1802, 0.4916], [0.6132, 0.6886, 0.5084], [0.6161, 0.4222, 0.0975], [0.6753, 0.0778, 0.6939], [0.6802, 0.1048, 0.9916], [0.6886, 0.5084, 0.6132], [0.6939, 0.6753, 0.0778], [0.8061, 0.8839, 0.9813], [0.8114, 0.4245, 0.8198], [0.8198, 0.8114, 0.4245], [0.8247, 0.5187, 0.4025], [0.8839, 0.9813, 0.8061], [0.8868, 0.3952, 0.0755], [0.8952, 0.3868, 0.5755], [0.9025, 0.0187, 0.3247], [0.9222, 0.1161, 0.5975], [0.9245, 0.3114, 0.3198], [0.9813, 0.8061, 0.8839], [0.9916, 0.6802, 0.1048]]}



{"formula": "NaAlFeP2", "functional": "meta-GGA SCAN", "state": "single point on PBEsol structure", "rho_g_cm3": 2.69, "ef_ev_per_fu": 4.46, "magnetic_moment_mub_per_atom": 0.64, "lattice_angstrom": [[4.5851, 0.0000, 0.0000], [0.0000, 4.5851, 0.0000], [0.0000, 0.0000, 4.9308]], "species": ["Na", "Al", "Fe", "P", "P"], "frac_coords": [[0.0000, 0.0000, 0.0000], [0.0000, 0.0000, 0.5000], [0.5000, 0.5000, 0.0000], [0.0000, 0.5000, 0.5000], [0.5000, 0.0000, 0.5000]]}



{"formula": "Nb3AlFe", "functional": "meta-GGA SCAN", "state": "single point on PBEsol structure", "rho_g_cm3": 6.42, "ef_ev_per_fu": 2.84, "magnetic_moment_mub_per_atom": 0.00, "lattice_angstrom": [[4.5400, 0.0000, 0.0000], [0.0000, 4.5400, 0.0000], [0.0000, 0.0000, 4.5400]], "species": ["Nb", "Nb", "Nb", "Al", "Fe"], "frac_coords": [[0.0000, 0.0000, 0.5000], [0.0000, 0.5000, 0.0000], [0.5000, 0.0000, 0.0000], [0.5000, 0.5000, 0.5000], [0.0000, 0.0000, 0.0000]]}



{"formula": "Nb3AlFe8", "functional": "meta-GGA SCAN", "state": "single point on PBEsol structure", "rho_g_cm3": 8.55, "ef_ev_per_fu": -0.81, "magnetic_moment_mub_per_atom": 0.65, "lattice_angstrom": [[4.6714, 0.0000, 0.0000], [-2.3357, 4.0455, 0.0000], [0.0000, 0.0000, 7.7309]], "species": ["Nb", "Nb", "Nb", "Al", "Fe", "Fe", "Fe", "Fe", "Fe", "Fe", "Fe", "Fe"], "frac_coords": [[0.0000, 0.0000, 0.0000], [0.0000, 0.0000, 0.3725], [0.6667, 0.3333, 0.5186], [0.6667, 0.3333, 0.8828], [0.1639, 0.3277, 0.6923], [0.1639, 0.8361, 0.6923], [0.3333, 0.6667, 0.4327], [0.3333, 0.6667, 0.9385], [0.5040, 0.0080, 0.1894], [0.5040, 0.4960, 0.1894], [0.6723, 0.8361, 0.6923], [0.9920, 0.4960, 0.1894]]}



{"formula": "Nd6AlFe13", "functional": "meta-GGA SCAN", "state": "single point on PBEsol structure", "rho_g_cm3": 7.59, "ef_ev_per_fu": -0.61, "magnetic_moment_mub_per_atom": 1.42, "lattice_angstrom": [[-3.9364, 3.9364, 11.4199], [3.9364, -3.9364, 11.4199], [3.9364, 3.9364, -11.4199]], "species": ["Nd", "Nd", "Nd", "Nd", "Nd", "Nd", "Nd", "Nd", "Nd", "Nd", "Nd", "Nd", "Al", "Al", "Fe", "Fe", "Fe", "Fe", "Fe", "Fe", "Fe", "Fe", "Fe", "Fe", "Fe", "Fe", "Fe", "Fe", "Fe", "Fe", "Fe", "Fe", "Fe", "Fe", "Fe", "Fe", "Fe", "Fe", "Fe", "Fe"], "frac_coords": [[0.0208, 0.5208, 0.1697], [0.1065, 0.1065, 0.0000], [0.1489, 0.9792, 0.5000], [0.3511, 0.8511, 0.8303], [0.3935, 0.3935, 0.0000], [0.4792, 0.6489, 0.5000], [0.5208, 0.3511, 0.5000], [0.6065, 0.6065, 0.0000], [0.6489, 0.1489, 0.1697], [0.8511, 0.0208, 0.5000], [0.8935, 0.8935, 0.0000], [0.9792, 0.4792, 0.8303], [0.2500, 0.2500, 0.0000], [0.7500, 0.7500, 0.0000], [0.0000, 0.5000, 0.5000], [0.0183, 0.2936, 0.5000], [0.0660, 0.2098, 0.2758], [0.1210, 0.6210, 0.8598], [0.2064, 0.4817, 0.5000], [0.2098, 0.9340, 0.1438], [0.2389, 0.7389, 0.8598], [0.2611, 0.1210, 0.5000], [0.2902, 0.4340, 0.7242], [0.2936, 0.7936, 0.2752], [0.3790, 0.2389, 0.5000], [0.4340, 0.7098, 0.1438], [0.4817, 0.9817, 0.2752], [0.5000, 0.0000, 0.5000], [0.5183, 0.0183, 0.7248], [0.5660, 0.2902, 0.8562], [0.6210, 0.7611, 0.5000], [0.7064, 0.2064, 0.7248], [0.7098, 0.5660, 0.2758], [0.7389, 0.8790, 0.5000], [0.7611, 0.2611, 0.1402], [0.7902, 0.0660, 0.8562], [0.7936, 0.5183, 0.5000], [0.8790, 0.3790, 0.1402], [0.9340, 0.7902, 0.7242], [0.9817, 0.7064, 0.5000]]}



{"formula": "Nd3AlFeS7", "functional": "meta-GGA SCAN", "state": "single point on PBEsol structure", "e_form_raw_ev_per_atom": -1.833, "rho_g_cm3": 4.99, "magnetic_moment_mub_per_atom": 0.01, "lattice_angstrom": [[9.5549, 0.0000, 0.0000], [-4.7774, 8.2748, 0.0000], [0.0000, 0.0000, 6.2256]], "species": ["Nd", "Nd", "Nd", "Nd", "Nd", "Nd", "Al", "Al", "Fe", "Fe", "S", "S", "S", "S", "S", "S", "S", "S", "S", "S", "S", "S", "S", "S"], "frac_coords": [[0.1745, 0.7988, 0.0000], [0.2012, 0.3757, 0.0000], [0.3757, 0.1745, 0.5000], [0.6243, 0.8255, 0.0000], [0.7988, 0.6243, 0.5000], [0.8255, 0.2012, 0.5000], [0.3333, 0.6667, 0.5753], [0.6667, 0.3333, 0.0753], [0.0000, 0.0000, 0.1492], [0.0000, 0.0000, 0.6492], [0.0832, 0.5319, 0.7130], [0.0984, 0.8879, 0.3963], [0.1121, 0.2106, 0.3963], [0.2106, 0.0984, 0.8963], [0.3333, 0.6667, 0.2196], [0.4487, 0.9168, 0.7130], [0.4681, 0.5513, 0.7130], [0.5319, 0.4487, 0.2130], [0.5513, 0.0832, 0.2130], [0.6667, 0.3333, 0.7196], [0.7894, 0.9016, 0.3963], [0.8879, 0.7894, 0.8963], [0.9016, 0.1121, 0.8963], [0.9168, 0.4681, 0.2130]]}



{"formula": "AlFe2Ni", "functional": "meta-GGA SCAN", "state": "single point on PBEsol structure", "rho_g_cm3": 7.27, "ef_ev_per_fu": -1.59, "magnetic_moment_mub_per_atom": 1.25, "lattice_angstrom": [[0.0000, 2.8251, 2.8251], [2.8251, 0.0000, 2.8251], [2.8251, 2.8251, 0.0000]], "species": ["Al", "Fe", "Fe", "Ni"], "frac_coords": [[0.0000, 0.0000, 0.0000], [0.2500, 0.2500, 0.2500], [0.5000, 0.5000, 0.5000], [0.7500, 0.7500, 0.7500]]}



{"formula": "AlFeNi2", "functional": "meta-GGA SCAN", "state": "single point on PBEsol structure", "rho_g_cm3": 7.27, "ef_ev_per_fu": -0.73, "magnetic_moment_mub_per_atom": 0.94, "lattice_angstrom": [[1.2940, 0.7471, 7.8783], [-1.2940, 0.7471, 7.8783], [0.0000, -1.4942, 7.8783]], "species": ["Al", "Fe", "Ni", "Ni"], "frac_coords": [[0.0000, 0.0000, 0.0000], [0.5000, 0.5000, 0.5000], [0.2502, 0.2502, 0.2502], [0.7498, 0.7498, 0.7498]]}



{"formula": "AlFe2Ni", "functional": "meta-GGA SCAN", "state": "single point on PBEsol structure", "rho_g_cm3": 7.21, "ef_ev_per_fu": -0.86, "magnetic_moment_mub_per_atom": 1.36, "lattice_angstrom": [[2.5461, 0.0000, 0.0000], [-1.0958, 4.1114, 0.0000], [-0.0752, -0.7378, 4.3452]], "species": ["Al", "Fe", "Fe", "Ni"], "frac_coords": [[0.0000, 0.0000, 0.0000], [0.5189, 0.0138, 0.5012], [0.7278, 0.5094, 0.2713], [0.2432, 0.5030, 0.7623]]}



{"formula": "AlFeNi2", "functional": "meta-GGA SCAN", "state": "single point on PBEsol structure", "rho_g_cm3": 7.39, "ef_ev_per_fu": -1.55, "magnetic_moment_mub_per_atom": 0.91, "lattice_angstrom": [[2.5781, 0.0000, 0.0000], [0.0000, 4.1084, 0.0000], [0.0000, 0.0000, 4.2483]], "species": ["Al", "Fe", "Ni", "Ni"], "frac_coords": [[0.0000, 0.0000, 0.0000], [0.0000, 0.5000, 0.6043], [0.5000, 0.0000, 0.4925], [0.5000, 0.5000, 0.1124]]}



{"formula": "AlFe2Ni", "functional": "meta-GGA SCAN", "state": "single point on PBEsol structure", "rho_g_cm3": 7.21, "ef_ev_per_fu": -0.17, "magnetic_moment_mub_per_atom": 1.37, "lattice_angstrom": [[1.2768, 0.7372, 8.0476], [-1.2768, 0.7372, 8.0476], [0.0000, -1.4743, 8.0476]], "species": ["Al", "Fe", "Fe", "Ni"], "frac_coords": [[0.0000, 0.0000, 0.0000], [0.2485, 0.2485, 0.2485], [0.7515, 0.7515, 0.7515], [0.5000, 0.5000, 0.5000]]}